*a*
A geometry-optimized LiCr2Cl2 structure. Source: Alexandria, functional GGA-PBE.

- N(E_F) (states/eV/cell) = 4.4
- space-group type = I4/mmm, No. 139
- crystal system = tetragonal

Cell lengths 7.7148, 7.7148, 7.7148 Å; angles 154.48, 154.48, 36.40 degrees
Last column: nearest neighbours and their distance in Å.
Atoms (fractional coordinates):
1 Li 0.0000 0.0000 0.0000  8 Cl 2.87
2 Cr 0.2500 0.7500 0.5000  4 Cr 2.41
3 Cr 0.7500 0.2500 0.5000  4 Cr 2.41
4 Cl 0.3932 0.3932 0.0000  4 Cr 2.70, 4 Li 2.87
5 Cl 0.6068 0.6068 0.0000  4 Cr 2.70, 4 Li 2.87



*b*
A geometry-optimized LiCr2Cl2 structure. Source: Alexandria, functional GGA-PBE.

- N(E_F) (states/eV/cell) = 1.6
- space-group type = P4/mbm, No. 127
- crystal system = tetragonal

Cell lengths 6.7025, 6.7025, 4.6840 Å; angles 90.00, 90.00, 90.00 degrees
Last column: nearest neighbours and their distance in Å.
Atoms (fractional coordinates):
1 Li 0.0000 0.0000 0.0000  4 Cl 2.46
2 Li 0.5000 0.5000 0.0000  4 Cl 2.46
3 Cr 0.2340 0.2660 0.5000  2 Cl 2.40
4 Cr 0.2660 0.7660 0.5000  2 Cl 2.40
5 Cr 0.7340 0.2340 0.5000  2 Cl 2.40
6 Cr 0.7660 0.7340 0.5000  2 Cl 2.40
7 Cl 0.1807 0.3193 0.0000  2 Cr 2.40, 2 Li 2.46
8 Cl 0.3193 0.8193 0.0000  2 Cr 2.40, 2 Li 2.46
9 Cl 0.6807 0.1807 0.0000  2 Cr 2.40, 2 Li 2.46
10 Cl 0.8193 0.6807 0.0000  2 Cr 2.40, 2 Li 2.46



Of them, *a* has the lowest stability.



*a*
A geometry-optimized LiCr2Cl structure. Source: Alexandria, functional GGA-PBE.

- N(E_F) (states/eV/cell) = 2.0
- space-group type = P4/mmm, No. 123
- crystal system = tetragonal

Cell lengths 3.3921, 3.3921, 6.3953 Å; angles 90.00, 90.00, 90.00 degrees
Last column: nearest neighbours and their distance in Å.
Atoms (fractional coordinates):
1 Li 0.0000 0.0000 0.0000  8 Cr 2.84
2 Cr 0.5000 0.5000 0.2377  4 Li 2.84, 4 Cl 2.93, 1 Cr 3.04
3 Cr 0.5000 0.5000 0.7623  4 Li 2.84, 4 Cl 2.93, 1 Cr 3.04
4 Cl 0.0000 0.0000 0.5000  8 Cr 2.93, 2 Li 3.20



*b*
A geometry-optimized LiCr2Cl structure. Source: Alexandria, functional GGA-PBE.

- N(E_F) (states/eV/cell) = 5.2
- space-group type = I-42d, No. 122
- crystal system = tetragonal

Cell lengths 5.5394, 5.5394, 5.5394 Å; angles 98.37, 98.37, 135.15 degrees
Last column: nearest neighbours and their distance in Å.
Atoms (fractional coordinates):
1 Li 0.0000 0.0000 0.0000  2 Cl 2.11
2 Li 0.7500 0.2500 0.5000  2 Cl 2.11
3 Cr 0.2039 0.6250 0.0789  2 Cl 2.26, 2 Cr 2.40
4 Cr 0.3750 0.4539 0.5789  2 Cl 2.26, 2 Cr 2.40
5 Cr 0.5461 0.1250 0.9211  2 Cl 2.26, 2 Cr 2.40
6 Cr 0.8750 0.7961 0.4211  2 Cl 2.26, 2 Cr 2.40
7 Cl 0.2500 0.7500 0.5000  2 Li 2.11, 4 Cr 2.26
8 Cl 0.5000 0.5000 0.0000  2 Li 2.11, 4 Cr 2.26



Of them, *b* has the lowest stability.



*a*
A geometry-optimized LiCr2Cl structure. Source: Alexandria, functional GGA-PBE.

- N(E_F) (states/eV/cell) = 2.0
- space-group type = R3m, No. 160
- crystal system = trigonal

Cell lengths 8.0497, 8.0497, 8.0497 Å; angles 22.18, 22.18, 22.18 degrees
Last column: nearest neighbours and their distance in Å.
Atoms (fractional coordinates):
1 Li 0.0000 0.0000 0.0000  3 Cl 2.37
2 Cr 0.2228 0.2228 0.2228  3 Cr 2.39
3 Cr 0.4889 0.4889 0.4889  3 Cr 2.39
4 Cl 0.7327 0.7327 0.7327  3 Li 2.37



*b*
A geometry-optimized LiCr2Cl structure. Source: Alexandria, functional GGA-PBE.

- N(E_F) (states/eV/cell) = 1.4
- space-group type = Imm2, No. 44
- crystal system = orthorhombic

Cell lengths 5.8774, 5.8774, 5.8774 Å; angles 150.09, 129.38, 59.92 degrees
Last column: nearest neighbours and their distance in Å.
Atoms (fractional coordinates):
1 Li 0.0000 0.0000 0.0000  2 Cl 2.62, 2 Cr 2.73
2 Cr 0.3960 0.8960 0.5000  2 Cr 2.43
3 Cr 0.5829 0.5829 0.0000  2 Cr 2.43, 2 Cl 2.60
4 Cl 0.7905 0.2905 0.5000  2 Cr 2.60, 2 Li 2.62



Of them, *b* has the lowest stability.



*a*
A geometry-optimized LiCr2Cl structure. Source: Alexandria, functional GGA-PBE.

- N(E_F) (states/eV/cell) = 0.9
- space-group type = Fm-3m, No. 225
- crystal system = cubic

Cell lengths 4.7856, 4.7856, 4.7856 Å; angles 60.00, 60.00, 60.00 degrees
Last column: nearest neighbours and their distance in Å.
Atoms (fractional coordinates):
1 Li 0.0000 0.0000 0.0000  8 Cr 2.93
2 Cr 0.2500 0.2500 0.2500  4 Cl 2.93, 4 Li 2.93
3 Cr 0.7500 0.7500 0.7500  4 Li 2.93, 4 Cl 2.93
4 Cl 0.5000 0.5000 0.5000  8 Cr 2.93



*b*
A geometry-optimized LiCr2Cl structure. Source: Alexandria, functional GGA-PBE.

- N(E_F) (states/eV/cell) = 3.6
- space-group type = Cmmm, No. 65
- crystal system = orthorhombic

Cell lengths 3.1896, 3.1896, 8.7037 Å; angles 90.00, 90.00, 118.43 degrees
Last column: nearest neighbours and their distance in Å.
Atoms (fractional coordinates):
1 Li 0.0000 0.0000 0.0000  4 Cr 2.84
2 Cr 0.5000 0.5000 0.2673  2 Cl 2.60, 2 Li 2.84
3 Cr 0.5000 0.5000 0.7327  2 Cl 2.60, 2 Li 2.84
4 Cl 0.0000 0.0000 0.5000  4 Cr 2.60



Of them, *a* has the lowest stability.